# 1
First-principles (PBE) data for crystalline TbPmBi2 at its relaxed geometry, as listed in the Alexandria database.

abc: 4.5023 4.5023 8.1338
angles: 73.93 73.93 60.00
Element x y z (fractional)
Tb 0.4979 0.4979 0.5062
Pm 0.6688 0.6688 0.9935
Bi 0.0836 0.0836 0.7491
Bi 0.2496 0.2496 0.2512

Spin magnetization: 0.00 μB/cell
Energy above the lowest structure with this stoichiometry: 0.111 eV per atom
Energy of formation from the pure elements: -0.798 eV/atom
V: 33.83 Å³/atom


# 2
First-principles (PBE) data for crystalline Tb3PmBi4 at its relaxed geometry, as listed in the Alexandria database.

abc: 4.5169 7.8187 7.8187
angles: 109.47 90.00 90.00
Element x y z (fractional)
Tb 0.0000 0.0000 0.5000
Tb 0.5000 0.5000 0.5000
Tb 0.0000 0.5000 0.0000
Pm 0.5000 0.0000 0.0000
Bi 0.0000 0.2539 0.2539
Bi 0.5000 0.7481 0.2519
Bi 0.0000 0.7461 0.7461
Bi 0.5000 0.2519 0.7481

Spin magnetization: 0.00 μB/cell
Energy above the lowest structure with this stoichiometry: 0.004 eV per atom
Energy of formation from the pure elements: -0.893 eV/atom
V: 32.54 Å³/atom


# 3
First-principles (PBE) data for crystalline Tb2Pm3Bi3 at its relaxed geometry, as listed in the Alexandria database.

abc: 6.5077 9.3452 9.3452
angles: 120.00 90.00 90.00
Site moments in Bohr magnetons follow the coordinates.
Element x y z (fractional)
Tb 0.0000 0.3333 0.6667  0.09
Tb 0.5000 0.6667 0.3333  0.09
Tb 0.0000 0.6667 0.3333  0.09
Tb 0.5000 0.3333 0.6667  0.09
Pm 0.7500 0.2457 0.0000  0.01
Pm 0.7500 0.7543 0.7543  0.01
Pm 0.7500 0.0000 0.2457  0.01
Pm 0.2500 0.7543 0.0000  0.01
Pm 0.2500 0.2457 0.2457  0.01
Pm 0.2500 0.0000 0.7543  0.01
Bi 0.7500 0.6086 0.0000  0.00
Bi 0.7500 0.3914 0.3914  0.00
Bi 0.7500 0.0000 0.6086  0.00
Bi 0.2500 0.3914 0.0000  0.00
Bi 0.2500 0.6086 0.6086  0.00
Bi 0.2500 0.0000 0.3914  0.00

Spin magnetization: 0.57 μB/cell
Energy of formation from the pure elements: -0.749 eV/atom
V: 30.76 Å³/atom


# 4
First-principles (PBE) data for crystalline TbPmBi2 at its relaxed geometry, as listed in the Alexandria database.

abc: 4.5244 4.5244 14.9957
angles: 90.00 90.00 120.00
Element x y z (fractional)
Tb 0.6667 0.3333 0.2500
Tb 0.3333 0.6667 0.7500
Pm 0.0000 0.0000 0.5000
Pm 0.0000 0.0000 0.0000
Bi 0.3333 0.6667 0.3748
Bi 0.6667 0.3333 0.8748
Bi 0.6667 0.3333 0.6252
Bi 0.3333 0.6667 0.1252

Spin magnetization: 0.00 μB/cell
Energy above the lowest structure with this stoichiometry: 0.070 eV per atom
Energy of formation from the pure elements: -0.839 eV/atom
V: 33.23 Å³/atom


# 5
First-principles (PBE) data for crystalline TbPmBi2 at its relaxed geometry, as listed in the Alexandria database.

abc: 3.8306 3.8306 8.2473
angles: 90.00 90.00 90.00
Element x y z (fractional)
Tb 0.5000 0.5000 0.5000
Bi 0.0000 0.0000 0.7439
Bi 0.0000 0.0000 0.2561
Pm 0.5000 0.5000 0.0000

Spin magnetization: 0.01 μB/cell
Energy above the lowest structure with this stoichiometry: 0.265 eV per atom
Energy of formation from the pure elements: -0.644 eV/atom
V: 30.25 Å³/atom


# 6
First-principles (PBE) data for crystalline TbPm4Bi at its relaxed geometry, as listed in the Alexandria database.

abc: 5.3304 5.3314 7.8561
angles: 89.88 89.93 90.00
Element x y z (fractional)
Tb 0.0013 0.9974 0.4982
Pm 0.5012 0.9966 0.2511
Pm 0.5014 0.9979 0.7451
Pm 0.0017 0.4975 0.7451
Pm 0.0009 0.4971 0.2512
Bi 0.5013 0.4973 0.9981

Spin magnetization: 0.00 μB/cell
Energy of formation from the pure elements: 0.150 eV/atom
V: 37.21 Å³/atom


# 7
First-principles (PBE) data for crystalline TbPm2Bi at its relaxed geometry, as listed in the Alexandria database.

abc: 4.1259 4.1259 9.9518
angles: 78.04 78.04 60.00
Site moments in Bohr magnetons follow the coordinates.
Element x y z (fractional)
Tb 0.5000 0.5000 0.4999  0.27
Pm 0.0710 0.0710 0.7871  0.13
Pm 0.2625 0.2625 0.2126  0.03
Bi 0.6665 0.6665 0.0004  0.00

Spin magnetization: 0.85 μB/cell
Energy above the lowest structure with this stoichiometry: 0.222 eV per atom
Energy of formation from the pure elements: -0.192 eV/atom
V: 35.61 Å³/atom


# 8
First-principles (PBE) data for crystalline TbPmBi2 at its relaxed geometry, as listed in the Alexandria database.

abc: 3.5658 3.5658 12.0251
angles: 81.47 81.47 60.00
Element x y z (fractional)
Tb 0.5000 0.5000 0.5000
Bi 0.0917 0.0917 0.7248
Bi 0.9083 0.9083 0.2752
Pm 0.0000 0.0000 0.0000

Spin magnetization: 0.00 μB/cell
Energy above the lowest structure with this stoichiometry: 0.706 eV per atom
Energy of formation from the pure elements: -0.203 eV/atom
V: 32.61 Å³/atom